Pr4Pu3ScSe8: relaxed, GGA-PBE.

Output
- DFT total energy (eV/atom) = -7.72
- magnetization (μB per cell) = 17.3

Cell: 8.3842 8.3842 8.3842 Å, 59.38 59.38 59.38°
Fractional coordinates of all 16 atoms:
Pr 0.0000 0.0000 0.0000
Pr 0.0000 0.5000 0.5000
Pr 0.5000 0.0000 0.5000
Pr 0.5000 0.5000 0.0000
Pu 0.0000 0.0000 0.5000
Pu 0.0000 0.5000 0.0000
Pu 0.5000 0.0000 0.0000
Sc 0.5000 0.5000 0.5000
Se 0.2464 0.2464 0.2464
Se 0.2531 0.7400 0.7400
Se 0.2600 0.2600 0.7469
Se 0.2600 0.7469 0.2600
Se 0.7400 0.2531 0.7400
Se 0.7400 0.7400 0.2531
Se 0.7469 0.2600 0.2600
Se 0.7536 0.7536 0.7536

KSe2Br2: relaxed, GGA-PBE.

Output
- DFT total energy (eV/atom) = -2.75
- magnetization (μB per cell) = 0.0

Cell: 5.9916 5.9916 9.5599 Å, 90.00 90.00 90.00°
Fractional coordinates of all 10 atoms:
K 0.0000 0.0000 0.0000
K 0.5000 0.5000 0.5000
Se 0.0000 0.0000 0.3866
Se 0.0000 0.0000 0.6134
Se 0.5000 0.5000 0.1134
Se 0.5000 0.5000 0.8866
Br 0.0000 0.5000 0.2500
Br 0.0000 0.5000 0.7500
Br 0.5000 0.0000 0.2500
Br 0.5000 0.0000 0.7500

YAl2F2: relaxed, GGA-PBE.

Output
- DFT total energy (eV/atom) = -5.34
- magnetization (μB per cell) = 0.0

Cell: 5.6925 5.6925 6.4179 Å, 90.00 90.00 90.00°
Fractional coordinates of all 10 atoms:
Y 0.0000 0.0000 0.0000
Y 0.5000 0.5000 0.0000
Al 0.2039 0.2961 0.5000
Al 0.2961 0.7961 0.5000
Al 0.7039 0.2039 0.5000
Al 0.7961 0.7039 0.5000
F 0.1600 0.3400 0.0000
F 0.3400 0.8400 0.0000
F 0.6600 0.1600 0.0000
F 0.8400 0.6600 0.0000

Mg3Hg3Bi: relaxed, GGA-PBE.

Output
- magnetization (μB per cell) = 0.0
- formation energy (meV per atom) = 272

Cell: 7.6276 7.6276 7.6276 Å, 90.00 90.00 90.00°
Fractional coordinates of all 14 atoms:
Mg 0.0000 0.2500 0.5000
Mg 0.0000 0.7500 0.5000
Mg 0.2500 0.5000 0.0000
Mg 0.5000 0.0000 0.2500
Mg 0.5000 0.0000 0.7500
Mg 0.7500 0.5000 0.0000
Hg 0.0000 0.5000 0.2500
Hg 0.0000 0.5000 0.7500
Hg 0.2500 0.0000 0.5000
Hg 0.5000 0.2500 0.0000
Hg 0.5000 0.7500 0.0000
Hg 0.7500 0.0000 0.5000
Bi 0.0000 0.0000 0.0000
Bi 0.5000 0.5000 0.5000

HfAlAg2W: relaxed, GGA-PBE.

Output
- magnetization (μB per cell) = 2.9
- formation energy (meV per atom) = 2061

Cell: 5.0103 5.0103 5.0893 Å, 90.00 90.00 90.00°
Fractional coordinates of all 5 atoms:
Hf 0.0000 0.0000 0.0000
Al 0.0000 0.0000 0.5000
Ag 0.0000 0.5000 0.0000
Ag 0.5000 0.0000 0.0000
W 0.5000 0.5000 0.5000

Pr2YU2Ru5: relaxed, GGA-PBE.

Output
- magnetization (μB per cell) = 0.0
- formation energy (meV per atom) = -205

Cell: 10.9619 10.9619 3.5268 Å, 90.00 90.00 90.00°
Fractional coordinates of all 20 atoms:
Pr 0.1756 0.3244 0.0000
Pr 0.3244 0.8244 0.0000
Pr 0.6756 0.1756 0.0000
Pr 0.8244 0.6756 0.0000
Y 0.0000 0.0000 0.0000
Y 0.5000 0.5000 0.0000
U 0.1358 0.6358 0.0000
U 0.3642 0.1358 0.0000
U 0.6358 0.8642 0.0000
U 0.8642 0.3642 0.0000
Ru 0.0000 0.5000 0.5000
Ru 0.0482 0.7811 0.5000
Ru 0.2189 0.0482 0.5000
Ru 0.2811 0.5482 0.5000
Ru 0.4518 0.2811 0.5000
Ru 0.5000 0.0000 0.5000
Ru 0.5482 0.7189 0.5000
Ru 0.7189 0.4518 0.5000
Ru 0.7811 0.9518 0.5000
Ru 0.9518 0.2189 0.5000

Y3As5: relaxed, GGA-PBE.

Output
- magnetization (μB per cell) = 0.0
- formation energy (meV per atom) = -851

Cell: 7.1776 9.2481 5.3572 Å, 90.00 90.00 90.00°
Fractional coordinates of all 16 atoms:
Y 0.0000 0.0000 0.0000
Y 0.0000 0.2947 0.5000
Y 0.0000 0.7053 0.5000
Y 0.5000 0.2053 0.5000
Y 0.5000 0.5000 0.0000
Y 0.5000 0.7947 0.5000
As 0.0000 0.5000 0.0000
As 0.1801 0.0000 0.5000
As 0.2500 0.2500 0.0000
As 0.2500 0.7500 0.0000
As 0.3199 0.5000 0.5000
As 0.5000 0.0000 0.0000
As 0.6801 0.5000 0.5000
As 0.7500 0.2500 0.0000
As 0.7500 0.7500 0.0000
As 0.8199 0.0000 0.5000

CsEr2MnTe4: relaxed, GGA-PBE.

Output
- DFT total energy (eV/atom) = -4.99
- magnetization (μB per cell) = 8.2

Cell: 8.1571 8.1571 15.4927 Å, 90.00 90.00 148.50°
Fractional coordinates of all 16 atoms:
Cs 0.1120 0.8880 0.7500
Cs 0.8880 0.1120 0.2500
Er 0.3709 0.6291 0.5622
Er 0.3709 0.6291 0.9378
Er 0.6291 0.3709 0.0622
Er 0.6291 0.3709 0.4378
Mn 0.1686 0.8314 0.2500
Mn 0.8314 0.1686 0.7500
Te 0.0000 0.0000 0.0000
Te 0.0000 0.0000 0.5000
Te 0.2587 0.7413 0.1041
Te 0.2587 0.7413 0.3959
Te 0.4289 0.5711 0.7500
Te 0.5711 0.4289 0.2500
Te 0.7413 0.2587 0.6041
Te 0.7413 0.2587 0.8959